Here is a relaxed TlP2Ir crystal from Alexandria via LeMat-Bulk. Energies are from PBE-GGA.

abc: 3.1820 3.1820 7.4974
angles: 90.00 90.00 90.00
Last column: nearest neighbours and their distance in Å.
Fractional coordinates of all 4 atoms:
Tl: 0.0000 0.0000 0.0000  4 Tl 3.18, 8 P 3.38
P: 0.5000 0.5000 0.3368  1 P 2.45, 4 Ir 2.56
P: 0.5000 0.5000 0.6632  1 P 2.45, 4 Ir 2.56
Ir: 0.0000 0.0000 0.5000  8 P 2.56

Computed properties:
Offset from the most stable computed form in meV/atom: 285.5
Energy of formation from the pure elements in eV per atom: 0.145
Space group: P4/mmm (123)
Calculated total energy in hartree per atom: -0.1972
Magnetization in μB/f.u.: 0.00

Here is a relaxed TlP2Ir crystal from Alexandria via LeMat-Bulk. Energies are from PBE-GGA.

abc: 5.1743 4.5693 4.5622
angles: 69.03 55.55 55.42
Last column: nearest neighbours and their distance in Å.
Fractional coordinates of all 4 atoms:
Tl: 0.0000 0.0000 0.0000  4 P 2.59, 2 Ir 2.73
P: 0.0000 0.5000 0.5000  2 Ir 2.59, 2 Tl 2.59, 2 P 2.73
P: 0.5000 0.0000 0.0000  2 Ir 2.59, 2 Tl 2.59, 2 P 2.73
Ir: 0.5000 0.5000 0.5000  4 P 2.59, 2 Tl 2.73

Computed properties:
Offset from the most stable computed form in meV/atom: 712.8
Energy of formation from the pure elements in eV per atom: 0.572
Space group: Fmmm (69)
Calculated total energy in hartree per atom: -0.1815
Magnetization in μB/f.u.: 0.00

Here is a relaxed Tl2PIr crystal from Alexandria via LeMat-Bulk. Energies are from PBE-GGA.

abc: 7.5208 7.5208 7.5208
angles: 131.46 131.46 71.08
Last column: nearest neighbours and their distance in Å.
Fractional coordinates of all 8 atoms:
Tl: 0.1228 0.6250 0.9978  2 P 2.66, 2 Ir 2.68
Tl: 0.3750 0.3728 0.4978  2 P 2.66, 2 Ir 2.68
Tl: 0.6272 0.1250 0.0022  2 P 2.66, 2 Ir 2.68
Tl: 0.8750 0.8772 0.5022  2 P 2.66, 2 Ir 2.68
P: 0.0000 0.0000 0.0000  4 Tl 2.66
P: 0.7500 0.2500 0.5000  4 Tl 2.66
Ir: 0.2500 0.7500 0.5000  4 Tl 2.68
Ir: 0.5000 0.5000 0.0000  4 Tl 2.68

Computed properties:
Offset from the most stable computed form in meV/atom: 914.0
Energy of formation from the pure elements in eV per atom: 0.829
Space group: I-42d (122)
Calculated total energy in hartree per atom: -0.1441
Magnetization in μB/f.u.: 0.00

Here is a relaxed TlP2Ir crystal from Alexandria via LeMat-Bulk. Energies are from PBE-GGA.

abc: 4.9105 4.9105 4.9105
angles: 129.18 129.18 74.73
Last column: nearest neighbours and their distance in Å.
Fractional coordinates of all 4 atoms:
Tl: 0.0000 0.0000 0.0000  4 Ir 2.87, 8 P 2.87-2.98
P: 0.5000 0.5000 0.0000  4 Ir 2.87, 4 P 2.87, 4 Tl 2.98
P: 0.7500 0.2500 0.5000  4 P 2.87, 4 Tl 2.87, 4 Ir 2.98
Ir: 0.2500 0.7500 0.5000  8 P 2.87-2.98, 4 Tl 2.87

Computed properties:
Offset from the most stable computed form in meV/atom: 919.1
Energy of formation from the pure elements in eV per atom: 0.779
Space group: I-4m2 (119)
Calculated total energy in hartree per atom: -0.1739
Magnetization in μB/f.u.: 0.00

Here is a relaxed Tl2PIr crystal from Alexandria via LeMat-Bulk. Energies are from PBE-GGA.

abc: 5.1401 5.1401 3.1154
angles: 90.69 90.69 103.45
Last column: nearest neighbours and their distance in Å.
Fractional coordinates of all 4 atoms:
Tl: 0.0000 0.5000 0.0000  4 Ir 2.99-3.02, 4 P 2.99-3.02, 4 Tl 3.12-3.18
Tl: 0.5000 0.0000 0.0000  4 Ir 2.99-3.02, 4 P 2.99-3.02, 4 Tl 3.12-3.18
P: 0.0000 0.0000 0.5000  8 Tl 2.99-3.02, 2 P 3.12, 2 Ir 3.18
Ir: 0.5000 0.5000 0.5000  8 Tl 2.99-3.02, 2 Ir 3.12, 2 P 3.18

Computed properties:
Offset from the most stable computed form in meV/atom: 779.8
Energy of formation from the pure elements in eV per atom: 0.694
Space group: C2/m (12)
Calculated total energy in hartree per atom: -0.1491
Magnetization in μB/f.u.: 0.00

Here is a relaxed TlP2Ir crystal from Alexandria via LeMat-Bulk. Energies are from PBE-GGA.

abc: 4.6121 4.6121 3.4769
angles: 90.00 90.00 108.49
Last column: nearest neighbours and their distance in Å.
Fractional coordinates of all 4 atoms:
Tl: 0.0000 0.0000 0.0000  2 Ir 2.69, 8 P 2.89
P: 0.0000 0.5000 0.5000  2 P 2.69, 4 Ir 2.89, 4 Tl 2.89
P: 0.5000 0.0000 0.5000  2 P 2.69, 4 Ir 2.89, 4 Tl 2.89
Ir: 0.5000 0.5000 0.0000  2 Tl 2.69, 8 P 2.89

Computed properties:
Offset from the most stable computed form in meV/atom: 842.2
Energy of formation from the pure elements in eV per atom: 0.702
Space group: Cmmm (65)
Calculated total energy in hartree per atom: -0.1768
Magnetization in μB/f.u.: 0.00

Here is a relaxed Tl2PIr crystal from Alexandria via LeMat-Bulk. Energies are from PBE-GGA.

abc: 5.0515 5.0515 5.0515
angles: 126.28 126.28 79.43
Last column: nearest neighbours and their distance in Å.
Fractional coordinates of all 4 atoms:
Tl: 0.0000 0.0000 0.0000  4 Tl 3.00, 4 Ir 3.00, 4 P 3.23
Tl: 0.7500 0.2500 0.5000  4 Tl 3.00, 4 P 3.00, 4 Ir 3.23
P: 0.5000 0.5000 0.0000  8 Tl 3.00-3.23, 4 Ir 3.00
Ir: 0.2500 0.7500 0.5000  8 Tl 3.00-3.23, 4 P 3.00

Computed properties:
Offset from the most stable computed form in meV/atom: 808.9
Energy of formation from the pure elements in eV per atom: 0.724
Space group: I-4m2 (119)
Calculated total energy in hartree per atom: -0.1480
Magnetization in μB/f.u.: 0.00

Here is a relaxed Tl2PIr crystal from Alexandria via LeMat-Bulk. Energies are from PBE-GGA.

abc: 4.8586 4.8586 4.8586
angles: 60.00 60.00 60.00
Last column: nearest neighbours and their distance in Å.
Fractional coordinates of all 4 atoms:
Tl: 0.2500 0.2500 0.2500  4 Ir 2.98, 4 P 2.98
Tl: 0.7500 0.7500 0.7500  4 P 2.98, 4 Ir 2.98
P: 0.0000 0.0000 0.0000  8 Tl 2.98
Ir: 0.5000 0.5000 0.5000  8 Tl 2.98

Computed properties:
Offset from the most stable computed form in meV/atom: 862.9
Energy of formation from the pure elements in eV per atom: 0.778
Space group: Fm-3m (225)
Calculated total energy in hartree per atom: -0.1460
Magnetization in μB/f.u.: 0.00

Here is a relaxed Tl2PIr crystal from Alexandria via LeMat-Bulk. Energies are from PBE-GGA.

abc: 9.5630 9.5630 9.5630
angles: 19.27 19.27 19.27
Last column: nearest neighbours and their distance in Å.
Fractional coordinates of all 4 atoms:
Tl: 0.2443 0.2443 0.2443  3 Ir 2.86, 3 P 3.11, 6 Tl 3.20
Tl: 0.7557 0.7557 0.7557  3 Ir 2.86, 3 P 3.11, 6 Tl 3.20
P: 0.0000 0.0000 0.0000  6 Tl 3.11, 6 P 3.20
Ir: 0.5000 0.5000 0.5000  6 Tl 2.86, 6 Ir 3.20

Computed properties:
Offset from the most stable computed form in meV/atom: 818.1
Energy of formation from the pure elements in eV per atom: 0.733
Space group: R-3m (166)
Calculated total energy in hartree per atom: -0.1477
Magnetization in μB/f.u.: 0.00

Here is a relaxed Tl2PIr crystal from Alexandria via LeMat-Bulk. Energies are from PBE-GGA.

abc: 3.2215 4.0072 6.2243
angles: 90.00 90.00 90.00
Last column: nearest neighbours and their distance in Å.
Fractional coordinates of all 4 atoms:
Tl: 0.0000 0.0000 0.2426  4 Ir 2.98, 4 Tl 3.02-3.22, 4 P 3.03
Tl: 0.0000 0.0000 0.7574  4 Ir 2.98, 4 Tl 3.02-3.22, 4 P 3.03
P: 0.5000 0.5000 0.5000  8 Tl 3.03, 2 Ir 3.11, 2 P 3.22
Ir: 0.5000 0.5000 0.0000  8 Tl 2.98, 2 P 3.11, 2 Ir 3.22

Computed properties:
Offset from the most stable computed form in meV/atom: 793.1
Energy of formation from the pure elements in eV per atom: 0.708
Space group: Pmmm (47)
Calculated total energy in hartree per atom: -0.1486
Magnetization in μB/f.u.: 0.00

Here is a relaxed TlP2Ir crystal from Alexandria via LeMat-Bulk. Energies are from PBE-GGA.

abc: 4.2595 4.2595 6.3937
angles: 102.19 102.19 50.93
Last column: nearest neighbours and their distance in Å.
Fractional coordinates of all 4 atoms:
Tl: 0.0000 0.0000 0.0000  6 P 3.11-3.41, 2 Ir 3.20
P: 0.6365 0.6365 0.6171  1 P 2.23, 3 Ir 2.28-2.42
P: 0.7787 0.7787 0.3501  1 P 2.23, 2 Ir 2.36
Ir: 0.3356 0.3356 0.5901  5 P 2.28-2.42

Computed properties:
Offset from the most stable computed form in meV/atom: 89.4
Energy of formation from the pure elements in eV per atom: -0.051
Space group: Cm (8)
Calculated total energy in hartree per atom: -0.2044
Magnetization in μB/f.u.: 0.00

Here is a relaxed TlP2Ir crystal from Alexandria via LeMat-Bulk. Energies are from PBE-GGA.

abc: 7.0797 7.0797 7.0797
angles: 28.67 28.67 28.67
Last column: nearest neighbours and their distance in Å.
Fractional coordinates of all 4 atoms:
Tl: 0.0000 0.0000 0.0000  3 Ir 2.93, 3 P 2.94
P: 0.2287 0.2287 0.2287  3 P 2.42
P: 0.4964 0.4964 0.4964  3 Ir 2.35, 3 P 2.42
Ir: 0.7708 0.7708 0.7708  3 P 2.35

Computed properties:
Offset from the most stable computed form in meV/atom: 379.5
Energy of formation from the pure elements in eV per atom: 0.239
Space group: R3m (160)
Calculated total energy in hartree per atom: -0.1938
Magnetization in μB/f.u.: 0.00